Sm6Rh2C: relaxed, PBE-GGA.

abc: 6.6315 7.2516 11.6301
angles: 90.00 123.27 90.00
Fractional coordinates of all 18 atoms:
Sm 0.1163 0.0449 0.2423
Sm 0.1163 0.4551 0.7423
Sm 0.2359 0.6943 0.0641
Sm 0.2359 0.8057 0.5641
Sm 0.3718 0.1721 0.0603
Sm 0.3718 0.3279 0.5603
Sm 0.6282 0.6721 0.4397
Sm 0.6282 0.8279 0.9397
Sm 0.7641 0.1943 0.4359
Sm 0.7641 0.3057 0.9359
Sm 0.8837 0.5449 0.2577
Sm 0.8837 0.9551 0.7577
Rh 0.2970 0.0978 0.7558
Rh 0.2970 0.4022 0.2558
Rh 0.7030 0.5978 0.7442
Rh 0.7030 0.9022 0.2442
C 0.0000 0.0000 0.0000
C 0.0000 0.5000 0.5000

**Space group**: P2_1/c, No. 14
**DFT formation energy**: -0.42 eV per atom
**Calculated density**: 8.0 Mg/m³